No. 1
4
Lattice="2.928 0.000 0.000 0.000 2.928 0.000 0.000 0.000 7.630" Properties=species:S:1:pos:R:3 comment="TlOs2Au, relaxed, DFT GGA-PBEsol" total_energy_ev_per_atom=-6.681 dos_ef_per_ev_fu=4.01 spacegroup="P4/mmm, No. 123" m_tot_mub_per_fu=0.00 ef_ev_per_atom=1.07 pbc="T T T"
Tl 0.000 0.000 0.000
Os 1.464 1.464 2.049
Os 1.464 1.464 5.581
Au 0.000 0.000 3.815



No. 2
4
Lattice="2.730 0.000 0.000 0.000 3.818 0.000 0.000 0.000 7.062" Properties=species:S:1:pos:R:3 comment="TlOsAu2, relaxed, DFT GGA-PBEsol" total_energy_ev_per_atom=-5.034 dos_ef_per_ev_fu=2.64 spacegroup="Pmmm, No. 47" m_tot_mub_per_fu=0.00 ef_ev_per_atom=0.64 pbc="T T T"
Tl 0.000 0.000 0.000
Os 0.000 0.000 3.531
Au 1.365 1.909 2.040
Au 1.365 1.909 5.021



Which formula does entry 2 have? TlOsAu2